[1]
{"formula": "HoPuPaPb", "functional": "GGA-PBE", "state": "optimized geometry", "lattice": [[0.0000, 3.7522, 3.7522], [3.7522, 0.0000, 3.7522], [3.7522, 3.7522, 0.0000]], "species": ["Ho", "Pu", "Pa", "Pb"], "fractional_positions": [[0.0000, 0.0000, 0.0000], [0.5000, 0.5000, 0.5000], [0.7500, 0.7500, 0.7500], [0.2500, 0.2500, 0.2500]], "energy_ry_per_atom": -0.5811, "formation_energy_mev_per_atom": 121.8}

***

[2]
{"formula": "HoPaPb2S6", "functional": "GGA-PBE", "state": "optimized geometry", "lattice": [[3.5962, 2.0763, 6.1250], [-3.5962, 2.0763, 6.1250], [0.0000, -4.1525, 6.1250]], "species": ["Ho", "Pa", "Pb", "Pb", "S", "S", "S", "S", "S", "S"], "fractional_positions": [[0.0000, 0.0000, 0.0000], [0.4978, 0.4978, 0.4978], [0.2920, 0.2920, 0.2920], [0.7943, 0.7943, 0.7943], [0.1454, 0.7204, 0.3579], [0.2319, 0.6422, 0.8456], [0.3579, 0.1454, 0.7204], [0.6422, 0.8456, 0.2319], [0.7204, 0.3579, 0.1454], [0.8456, 0.2319, 0.6422]], "raw_formation_energy_ev_per_fu": -12.67, "energy_ry_per_atom": -0.4331}

***

[3]
{"formula": "HoPaSnPb", "functional": "GGA-PBE", "state": "optimized geometry", "lattice": [[0.0000, 3.7924, 3.7924], [3.7924, 0.0000, 3.7924], [3.7924, 3.7924, 0.0000]], "species": ["Ho", "Pa", "Sn", "Pb"], "fractional_positions": [[0.0000, 0.0000, 0.0000], [0.5000, 0.5000, 0.5000], [0.7500, 0.7500, 0.7500], [0.2500, 0.2500, 0.2500]], "energy_ry_per_atom": -0.4118, "formation_energy_mev_per_atom": -157.0}